VASP calculation (PBE-GGA) on an optimized crystal structure of ZnGa2SiAs4.

CIF file:
```
data_ZnGa2SiAs4
_chemical_formula_sum 'Zn4 Ga8 Si4 As16'
_cell_length_a 8.077
_cell_length_b 8.078
_cell_length_c 11.266
_cell_angle_alpha 90.00
_cell_angle_beta 90.00
_cell_angle_gamma 90.00
_symmetry_space_group_name_H-M 'F m m 2'
_symmetry_Int_Tables_number 42
_symmetry_space_group_name_Hall 'F 2 -2'
loop_
_atom_site_label
_atom_site_fract_x
_atom_site_fract_y
_atom_site_fract_z
Zn1 0.000 0.000 0.000
Ga1 0.250 0.250 0.251
Si1 0.000 0.000 0.500
As1 0.000 0.243 0.622
As2 0.243 0.000 0.379
```

Results
* total moment: 0.0 μB per cell
* energy relative to the elements, uncorrected: -0.276 eV per atom



VASP calculation (PBE-GGA) on an optimized crystal structure of Zn2GaSiAs4.

CIF file:
```
data_Zn2GaSiAs4
_chemical_formula_sum 'Zn4 Ga2 Si2 As8'
_cell_length_a 5.572
_cell_length_b 5.572
_cell_length_c 11.725
_cell_angle_alpha 90.00
_cell_angle_beta 90.00
_cell_angle_gamma 90.00
_symmetry_space_group_name_H-M 'I -4 2 m'
_symmetry_Int_Tables_number 121
_symmetry_space_group_name_Hall 'I -4 2'
loop_
_atom_site_label
_atom_site_fract_x
_atom_site_fract_y
_atom_site_fract_z
Zn1 0.000 0.500 0.250
Ga1 0.000 0.000 0.000
Si1 0.000 0.000 0.500
As1 0.242 0.242 0.377
```

Results
* total moment: 0.0 μB per cell
* energy relative to the elements, uncorrected: -0.182 eV per atom



VASP calculation (PBE-GGA) on an optimized crystal structure of Sm4GaAs3.

CIF file:
```
data_Sm4GaAs3
_chemical_formula_sum 'Sm4 Ga1 As3'
_cell_length_a 5.975
_cell_length_b 5.975
_cell_length_c 5.975
_cell_angle_alpha 90.00
_cell_angle_beta 90.00
_cell_angle_gamma 90.00
_symmetry_space_group_name_H-M 'P m -3 m'
_symmetry_Int_Tables_number 221
_symmetry_space_group_name_Hall '-P 4 2 3'
loop_
_atom_site_label
_atom_site_fract_x
_atom_site_fract_y
_atom_site_fract_z
Sm1 0.000 0.000 0.000
Sm2 0.000 0.500 0.500
Ga1 0.500 0.500 0.500
As1 0.000 0.000 0.500
```

Results
* energy of formation: -1.19 eV per atom
* total moment: 0.0 μB per cell



VASP calculation (PBE-GGA) on an optimized crystal structure of Sm2GaAs.

CIF file:
```
data_Sm2GaAs
_chemical_formula_sum 'Sm6 Ga3 As3'
_cell_length_a 3.9187
_cell_length_b 3.9187
_cell_length_c 29.0214
_cell_angle_alpha 90.00
_cell_angle_beta 90.00
_cell_angle_gamma 120.00
_symmetry_space_group_name_H-M 'R -3 m'
_symmetry_Int_Tables_number 166
_symmetry_space_group_name_Hall '-R 3 2"'
loop_
_atom_site_label
_atom_site_fract_x
_atom_site_fract_y
_atom_site_fract_z
Sm1 0.0000 0.0000 0.1064
Ga1 0.0000 0.0000 0.0000
As1 0.0000 0.0000 0.5000
```

Results
* energy of formation: -0.46 eV per atom
* energy above the lowest structure with this stoichiometry: 13.85 kcal/mol of atoms
* total moment: 0.0 μB per cell



VASP calculation (PBE-GGA) on an optimized crystal structure of Sm2GaAs.

CIF file:
```
data_Sm2GaAs
_chemical_formula_sum 'Sm8 Ga4 As4'
_cell_length_a 4.295
_cell_length_b 23.610
_cell_length_c 4.174
_cell_angle_alpha 90.00
_cell_angle_beta 90.00
_cell_angle_gamma 90.00
_symmetry_space_group_name_H-M 'C m c m'
_symmetry_Int_Tables_number 63
_symmetry_space_group_name_Hall '-C 2c 2'
loop_
_atom_site_label
_atom_site_fract_x
_atom_site_fract_y
_atom_site_fract_z
Sm1 0.000 0.066 0.250
Sm2 0.000 0.313 0.250
Ga1 0.000 0.465 0.250
As1 0.000 0.188 0.250
```

Results
* energy of formation: -1.06 eV per atom
* energy above the lowest structure with this stoichiometry: 0.00 kcal/mol of atoms
* total moment: 0.0 μB per cell



VASP calculation (PBE-GGA) on an optimized crystal structure of SmGa2As.

CIF file:
```
data_SmGa2As
_chemical_formula_sum 'Sm1 Ga2 As1'
_cell_length_a 4.336
_cell_length_b 4.336
_cell_length_c 4.462
_cell_angle_alpha 90.00
_cell_angle_beta 90.00
_cell_angle_gamma 90.00
_symmetry_space_group_name_H-M 'P 4/m m m'
_symmetry_Int_Tables_number 123
_symmetry_space_group_name_Hall '-P 4 2'
loop_
_atom_site_label
_atom_site_fract_x
_atom_site_fract_y
_atom_site_fract_z
Sm1 0.000 0.000 0.000
Ga1 0.000 0.500 0.500
As1 0.500 0.500 0.000
```

Results
* energy of formation: -0.58 eV per atom
* total moment: 0.0 μB per cell



Look up the total moment of the fifth one.
0.0 μB per cell